No. 1
Here is ZnS after structural relaxation from the Alexandria database. Energies are from PBE.

## Properties
energy relative to the elements, uncorrected: -0.66 eV/atom

a b c (Å): 7.4329 7.4329 7.4329
angles (deg): 90.00 90.00 90.00
Positions (direct):
Zn 0.6570 0.3430 0.6570
S 0.6666 0.6666 0.6666
S 0.1666 0.1666 0.1666
Zn 0.3430 0.6570 0.6570
Zn 0.3430 0.3430 0.3430
S 0.3334 0.3334 0.6666
S 0.1666 0.8334 0.8334
S 0.8334 0.8334 0.1666
Zn 0.8430 0.1570 0.1570
S 0.6666 0.3334 0.3334
S 0.3334 0.6666 0.3334
Zn 0.1570 0.1570 0.8430
S 0.8334 0.1666 0.8334
Zn 0.8430 0.8430 0.8430
Zn 0.6570 0.6570 0.3430
Zn 0.1570 0.8430 0.1570

No. 2
Here is Na2HfMnSe4 after structural relaxation from the Alexandria database. Energies are from PBE.

## Properties
energy relative to the elements, uncorrected: -1.06 eV/atom

a b c (Å): 3.8970 6.8331 7.3186
angles (deg): 108.33 90.00 90.00
Positions (direct):
Se 0.0000 0.7325 0.2209
Se 0.5000 0.7607 0.7904
Na 0.5000 0.0000 0.5000
Hf 0.5000 0.5000 0.0000
Mn 0.0000 0.0000 0.0000
Se 0.5000 0.2393 0.2096
Se 0.0000 0.2675 0.7791
Na 0.0000 0.5000 0.5000

No. 3
Here is Sr2Li2Zn after structural relaxation from the Alexandria database. Energies are from PBE.

## Properties
formation enthalpy at 0 K: 182 meV per atom
energy relative to the lowest polymorph listed for this composition: 247 meV per atom

a b c (Å): 8.8668 8.8668 4.7241
angles (deg): 90.00 90.00 90.00
Positions (direct):
Li 0.8746 0.3746 0.5000
Sr 0.3312 0.8312 0.0000
Li 0.3746 0.1254 0.5000
Sr 0.8312 0.6688 0.0000
Zn 0.0000 0.0000 0.0000
Zn 0.5000 0.5000 0.0000
Li 0.6254 0.8746 0.5000
Li 0.1254 0.6254 0.5000
Sr 0.1688 0.3312 0.0000
Sr 0.6688 0.1688 0.0000

No. 4
Here is KHg2As2O7 after structural relaxation from the Alexandria database. Energies are from PBE.

## Properties
energy relative to the elements, uncorrected: -0.96 eV/atom

a b c (Å): 5.9982 5.9982 8.7927
angles (deg): 70.06 70.06 60.00
Positions (direct):
O 0.8913 0.6400 0.2802
O 0.8115 0.3600 0.7198
Hg 0.7497 0.7497 0.7509
O 0.6400 0.1885 0.2802
As 0.0730 0.0730 0.7810
O 0.3600 0.1087 0.7198
Hg 0.2503 0.2503 0.2491
As 0.9270 0.9270 0.2190
O 0.1885 0.8913 0.2802
O 0.0000 0.0000 0.0000
O 0.1087 0.8115 0.7198
K 0.5000 0.5000 0.5000

No. 5
Here is SiAu after structural relaxation from the Alexandria database. Energies are from PBE.

## Properties
energy relative to the elements, uncorrected: 0.36 eV/atom

a b c (Å): 2.8029 2.8029 5.1087
angles (deg): 90.00 90.00 120.00
Positions (direct):
Au 0.0000 0.0000 0.0000
Si 0.6667 0.3333 0.5000

No. 6
Here is NaTe2N2 after structural relaxation from the Alexandria database. Energies are from PBE.

## Properties
energy relative to the elements, uncorrected: 2.24 eV/atom
energy relative to the lowest polymorph listed for this composition: 1148 meV per atom

a b c (Å): 5.7035 5.7035 4.4311
angles (deg): 90.00 90.00 90.00
Positions (direct):
Te 0.0000 0.5000 0.0000
Te 0.5000 0.0000 0.0000
Na 0.0000 0.0000 0.0000
N 0.0000 0.0000 0.5000
N 0.5000 0.5000 0.5000

No. 7
Here is TbPu2PaAs4 after structural relaxation from the Alexandria database. Energies are from PBE.

## Properties
formation enthalpy at 0 K: -1184 meV per atom

a b c (Å): 4.1408 7.1555 7.1377
angles (deg): 109.55 90.00 90.00
Positions (direct):
Pu 0.0000 0.5000 0.5000
As 0.0000 0.2467 0.7515
Tb 0.5000 0.5000 0.0000
As 0.5000 0.2465 0.2462
As 0.0000 0.7533 0.2485
As 0.5000 0.7535 0.7538
Pu 0.5000 0.0000 0.5000
Pa 0.0000 0.0000 0.0000

No. 8
Here is Cu2Mo2Cl7 after structural relaxation from the Alexandria database. Energies are from PBE.

## Properties
energy relative to the elements, uncorrected: -0.52 eV/atom

a b c (Å): 6.4684 6.4684 16.6868
angles (deg): 111.30 111.30 94.90
Positions (direct):
Cl 0.5634 0.3983 0.0755
Cu 0.1113 0.8266 0.1425
Cl 0.3253 0.0698 0.5820
Cu 0.1734 0.8887 0.3575
Mo 0.7849 0.4615 0.9867
Cl 0.9248 0.4394 0.6382
Mo 0.5385 0.2151 0.5133
Cl 0.3983 0.5634 0.5755
Cl 0.4394 0.9248 0.1382
Cu 0.8266 0.1113 0.6425
Mo 0.4615 0.7849 0.4867
Mo 0.2151 0.5385 0.0133
Cl 0.5606 0.0752 0.8618
Cl 0.0698 0.3253 0.0820
Cl 0.9973 0.0027 0.2500
Cl 0.0752 0.5606 0.3618
Cl 0.0027 0.9973 0.7500
Cl 0.6017 0.4366 0.4245
Cl 0.6747 0.9302 0.4180
Cl 0.4366 0.6017 0.9245
Cl 0.9302 0.6747 0.9180
Cu 0.8887 0.1734 0.8575

No. 9
Here is InAsAu2 after structural relaxation from the Alexandria database. Energies are from PBE.

## Properties
formation enthalpy at 0 K: 9 meV per atom

a b c (Å): 4.8515 3.9514 4.6955
angles (deg): 87.68 90.00 90.00
Positions (direct):
In 0.0000 0.4749 0.4792
Au 0.5000 0.1643 0.2692
As 0.5000 0.8911 0.7754
Au 0.0000 0.9697 0.9761

No. 10
Here is Sn5HgAs4 after structural relaxation from the Alexandria database. Energies are from PBE.

## Properties
formation enthalpy at 0 K: 53 meV per atom

a b c (Å): 4.8703 4.8703 29.7143
angles (deg): 90.00 90.00 120.00
Positions (direct):
Sn 0.6667 0.3333 0.5176
Sn 0.6667 0.3333 0.9083
As 0.6667 0.3333 0.2044
Sn 0.6667 0.3333 0.7122
Hg 0.3333 0.6667 0.3207
Sn 0.3333 0.6667 0.9988
As 0.6667 0.3333 0.6144
As 0.3333 0.6667 0.5186
As 0.3333 0.6667 0.9042
Sn 0.3333 0.6667 0.8069
Sn 0.3333 0.6667 0.2232
Sn 0.3333 0.6667 0.6142
As 0.6667 0.3333 0.0041
As 0.6667 0.3333 0.8081
Hg 0.3333 0.6667 0.1056
Sn 0.6667 0.3333 0.3238
Sn 0.3333 0.6667 0.4208
Sn 0.6667 0.3333 0.1101
As 0.6667 0.3333 0.4206
As 0.3333 0.6667 0.7113

No. 11
Here is Er2TlTe after structural relaxation from the Alexandria database. Energies are from PBE.

## Properties
energy relative to the elements, uncorrected: -0.76 eV/atom
energy relative to the lowest polymorph listed for this composition: 0 meV per atom

a b c (Å): 4.1575 4.1485 8.1494
angles (deg): 104.85 90.00 120.07
Positions (direct):
Er 0.7497 0.9994 0.7484
Er 0.2503 0.0006 0.2516
Te 0.0000 0.5000 0.5000
Tl 0.5000 0.5000 0.0000

No. 12
Here is Pr3Y8Ho2 after structural relaxation from the Alexandria database. Energies are from PBE.

## Properties
formation enthalpy at 0 K: 130 meV per atom
energy relative to the lowest polymorph listed for this composition: 0 meV per atom

a b c (Å): 11.3946 6.6885 22.8269
angles (deg): 82.59 104.21 147.99
Positions (direct):
Pr 0.4071 0.5634 0.7774
Y 0.0208 0.6489 0.4268
Y 0.6687 0.7981 0.0727
Y 0.2080 0.7951 0.0703
Y 0.3313 0.2019 0.9273
Y 0.7329 0.6229 0.8548
Ho 0.7619 0.3959 0.1221
Pr 0.5929 0.4366 0.2226
Ho 0.2381 0.6041 0.8779
Pr 0.0000 0.0000 0.0000
Y 0.7920 0.2049 0.9297
Y 0.3398 0.9920 0.7203
Ho 0.9851 0.8534 0.6187
Pr 0.5000 0.0000 0.5000
Y 0.2671 0.3771 0.1452
Pr 0.0918 0.4748 0.2199
Y 0.5277 0.9195 0.6438
Y 0.9792 0.3511 0.5732
Y 0.4408 0.3498 0.5723
Y 0.1439 0.0239 0.2821
Y 0.5592 0.6502 0.4277
Y 0.6602 0.0080 0.2797
Ho 0.0149 0.1466 0.3813
Y 0.8561 0.9761 0.7179
Y 0.4723 0.0805 0.3562
Pr 0.9082 0.5252 0.7801

Respective VASP energy values: -53.77 -44.22 -15.11 -57.28 -7.98 -13.04 -70.86 -96.90 -13.91 -76.78 -17.68 -147.04 eV for the cell shown.
Respective Fermi-level density of states values: 0.000 0.088 1.257 0.210 0.311 1.026 2.592 0.470 0.275 0.291 0.448 1.616 states/eV/atom.